# Tm2SiAu

An optimized crystal structure of Tm2SiAu (GGA-PBE, OQMD).

Summary:
crystal system	orthorhombic
total magnetization	0.00	μB/cell
total energy	-5.2318	eV per atom

Cell: 4.2315 3.9568 10.7062 Å, 90.00 90.00 90.00°
With the nearest neighbours (Å) after each atom.
Space group Amm2 (No. 38)
Unique sites:
Tm 0.0000 0.0000 0.0000 x2  4 Si 2.96, 3 Au 2.98-3.09
Tm 0.5000 0.0000 0.2806 x2  3 Si 2.96-3.10, 4 Au 2.97
Si 0.5000 0.0000 0.5571 x2  2 Au 2.75, 5 Tm 2.96
Au 0.0000 0.0000 0.7214 x2  2 Si 2.75, 5 Tm 2.97-2.98

---

# Cs2Rb2ZnP2

An optimized crystal structure of Cs2Rb2ZnP2 (GGA-PBE, OQMD).

Summary:
crystal system	trigonal
energy above the lowest structure with this stoichiometry	11	meV/atom
total energy	-2.6044	eV per atom

Cell: 6.1014 6.1014 26.6792 Å, 90.00 90.00 120.00°
With the nearest neighbours (Å) after each atom.
Space group R-3m (No. 166, hexagonal axes)
Unique sites:
Cs 0.0000 0.0000 0.1184 x6  3 P 3.65, 3 Zn 3.75, 3 Rb 4.07
Rb 0.0000 0.0000 0.2915 x6  4 P 3.33-3.69
Zn 0.0000 0.0000 0.5000 x3  2 P 2.23
P 0.0000 0.0000 0.4164 x6  1 Zn 2.23

---

# CuReTePb

An optimized crystal structure of CuReTePb (GGA-PBE, OQMD).

Summary:
crystal system	cubic
total magnetization	0.62	μB/cell
energy above the lowest structure with this stoichiometry	0	meV/atom
total energy	-4.9039	eV per atom

Cell: 6.7554 6.7554 6.7554 Å, 90.00 90.00 90.00°
With the nearest neighbours (Å) after each atom.
Space group F-43m (No. 216)
Unique sites:
Cu 0.0000 0.0000 0.0000 x4  4 Pb 2.93, 4 Te 2.93
Re 0.0000 0.0000 0.5000 x4  4 Pb 2.93, 4 Te 2.93
Te 0.2500 0.2500 0.7500 x4  4 Re 2.93, 4 Cu 2.93
Pb 0.2500 0.2500 0.2500 x4  4 Re 2.93, 4 Cu 2.93

---

# FeBiMo4N2

An optimized crystal structure of FeBiMo4N2 (GGA-PBE, OQMD).

Summary:
crystal system	hexagonal
total magnetization	2.16	μB/cell
total energy	-8.8141	eV per atom

Cell: 3.1739 3.1739 13.2746 Å, 90.00 90.00 120.00°
With the nearest neighbours (Å) after each atom.
Space group P-6m2 (No. 187)
Unique sites:
Fe 0.0000 0.0000 0.0000 x1  6 Mo 2.67
Bi 0.3333 0.6667 0.5000 x1  6 Mo 3.16, 6 Bi 3.17
Mo 0.0000 0.0000 0.3057 x2  3 N 2.07
Mo 0.3333 0.6667 0.1459 x2  3 N 2.17
N 0.6667 0.3333 0.2333 x2  6 Mo 2.07-2.17

---

# PaPdNO

An optimized crystal structure of PaPdNO (GGA-PBE, OQMD).

Summary:
crystal system	tetragonal
total magnetization	0.00	μB/cell
energy above the lowest structure with this stoichiometry	275	meV/atom
total energy	-7.8467	eV per atom

Cell: 4.9914 4.9914 4.3988 Å, 90.00 90.00 90.00°
With the nearest neighbours (Å) after each atom.
Space group P4/nmm (No. 129, origin choice 2)
Unique sites:
Pa 0.2500 0.7500 0.0000 x2  2 O 2.20
Pd 0.2500 0.2500 0.4652 x2  2 N 2.14-2.26
N 0.2500 0.2500 0.9786 x2  2 Pd 2.14-2.26
O 0.2500 0.7500 0.5000 x2  2 Pa 2.20

---

# AcHfTl

An optimized crystal structure of AcHfTl (GGA-PBE, OQMD).

Summary:
crystal system	cubic
total magnetization	3.74	μB/cell
energy above the lowest structure with this stoichiometry	0	meV/atom
total energy	-4.9749	eV per atom

Cell: 7.3960 7.3960 7.3960 Å, 90.00 90.00 90.00°
With the nearest neighbours (Å) after each atom.
Space group F-43m (No. 216)
Unique sites:
Ac 0.0000 0.0000 0.0000 x4  4 Tl 3.20
Hf 0.0000 0.0000 0.5000 x4  4 Tl 3.20
Tl 0.2500 0.2500 0.2500 x4  4 Ac 3.20, 4 Hf 3.20

---

# DyEr3Lu2Te2Os

An optimized crystal structure of DyEr3Lu2Te2Os (GGA-PBE, OQMD).

Summary:
crystal system	orthorhombic
total magnetization	0.01	μB/cell
total energy	-5.7031	eV per atom

Cell: 4.0396 14.2892 8.1240 Å, 90.00 90.00 90.00°
With the nearest neighbours (Å) after each atom.
Space group Amm2 (No. 38)
Unique sites:
Dy 0.0000 0.0000 0.0000 x2  2 Os 2.86
Er 0.5000 0.0000 0.3772 x2  1 Os 3.03, 4 Te 3.28
Er 0.5000 0.1946 0.9561 x4  4 Te 3.22-3.23, 1 Os 3.24, 2 Lu 3.42, 2 Dy 3.46
Lu 0.0000 0.1197 0.6435 x4  2 Os 2.78
Te 0.0000 0.1685 0.2624 x4  2 Lu 3.17-3.18, 1 Dy 3.22, 6 Er 3.22-3.28
Os 0.5000 0.0000 0.7502 x2  4 Lu 2.78, 2 Dy 2.86, 1 Er 3.03

---

# NdErPt

An optimized crystal structure of NdErPt (GGA-PBE, OQMD).

Summary:
crystal system	cubic
total magnetization	0.00	μB/cell
ΔE_f	-21	meV per atom
total energy	-5.1481	eV per atom

Cell: 6.8179 6.8179 6.8179 Å, 90.00 90.00 90.00°
With the nearest neighbours (Å) after each atom.
Space group F-43m (No. 216)
Unique sites:
Nd 0.0000 0.0000 0.0000 x4  4 Er 2.95, 4 Pt 2.95
Er 0.2500 0.2500 0.7500 x4  4 Nd 2.95
Pt 0.2500 0.2500 0.2500 x4  4 Nd 2.95

---

# TmNbTl

An optimized crystal structure of TmNbTl (GGA-PBE, OQMD).

Summary:
crystal system	cubic
total magnetization	12.11	μB/cell
energy above the lowest structure with this stoichiometry	321	meV/atom
total energy	-4.7013	eV per atom

Cell: 6.9695 6.9695 6.9695 Å, 90.00 90.00 90.00°
With the nearest neighbours (Å) after each atom.
Space group F-43m (No. 216)
Unique sites:
Tm 0.0000 0.0000 0.0000 x4  4 Tl 3.02, 4 Nb 3.02
Nb 0.2500 0.2500 0.7500 x4  4 Tm 3.02
Tl 0.2500 0.2500 0.2500 x4  4 Tm 3.02

---

# DyAlB4

An optimized crystal structure of DyAlB4 (GGA-PBE, OQMD).

Summary:
crystal system	orthorhombic
total magnetization	0.00	μB/cell
energy above the lowest structure with this stoichiometry	31	meV/atom
total energy	-6.1024	eV per atom

Cell: 3.1890 5.2353 7.6850 Å, 90.00 90.00 90.00°
With the nearest neighbours (Å) after each atom.
Space group Immm (No. 71)
Unique sites:
Dy 0.0000 0.0000 0.0000 x2  12 B 2.61-2.63
Al 0.0000 0.0000 0.5000 x2  12 B 2.53-2.70
B 0.0000 0.3282 0.2588 x8  3 B 1.80

---

# Y2HoAl3Si2Ir

An optimized crystal structure of Y2HoAl3Si2Ir (GGA-PBE, OQMD).

Summary:
crystal system	orthorhombic
total magnetization	0.01	μB/cell
total energy	-6.2503	eV per atom

Cell: 4.2243 11.9771 6.9125 Å, 90.00 90.00 90.00°
With the nearest neighbours (Å) after each atom.
Space group Amm2 (No. 38)
Unique sites:
Y 0.0000 0.2081 0.0000 x4  1 Ir 2.88, 4 Si 2.96, 2 Al 3.21
Ho 0.0000 0.0000 0.3766 x2  1 Ir 2.86, 4 Si 2.96
Al 0.5000 0.0000 0.0256 x2  2 Ir 2.66, 2 Si 2.71, 2 Al 2.80
Al 0.5000 0.1166 0.6749 x4  2 Ir 2.66, 2 Si 2.71-2.72, 2 Al 2.79-2.80
Si 0.5000 0.1663 0.2920 x4  3 Al 2.71-2.72, 2 Ho 2.96, 4 Y 2.96
Ir 0.0000 0.0000 0.7906 x2  6 Al 2.66, 1 Ho 2.86, 2 Y 2.88

---

# LiCuB4

An optimized crystal structure of LiCuB4 (GGA-PBE, OQMD).

Summary:
crystal system	hexagonal
energy above the lowest structure with this stoichiometry	0	meV/atom
total energy	-5.2599	eV per atom

Cell: 2.9825 2.9825 6.7362 Å, 90.00 90.00 120.00°
With the nearest neighbours (Å) after each atom.
Space group P6/mmm (No. 191)
Unique sites:
Li 0.0000 0.0000 0.0000 x1  12 B 2.46
Cu 0.0000 0.0000 0.5000 x1  12 B 2.36
B 0.3333 0.6667 0.2599 x4  3 B 1.72